Entry from the Alexandria database: a geometry-optimized BeCoHg2 structure (PBE-GGA).

Unit cell a=4.069 b=4.069 c=17.763 alpha=90.00 beta=90.00 gamma=90.00
Space group I-42d (No. 122)
Asymmetric unit:
Be: 0.000 0.000 0.000 [4 per cell]
Co: 0.000 0.000 0.500 [4 per cell]
Hg: 0.245 0.250 0.125 [8 per cell]

Results
V	18.4	Å³ per atom
formation energy from the elements	756	meV/atom

=====

Entry from the Alexandria database: a geometry-optimized CeFeSi2Tc structure (PBE-GGA).

Unit cell a=4.118 b=4.118 c=9.792 alpha=90.00 beta=90.00 gamma=90.00
Space group I-4m2 (No. 119)
Asymmetric unit:
Ce: 0.000 0.000 0.000 [2 per cell]
Fe: 0.000 0.500 0.250 [2 per cell]
Si: 0.000 0.000 0.370 [4 per cell]
Tc: 0.000 0.500 0.750 [2 per cell]

Results
E_form (uncorrected)	-0.61	eV per atom
V	16.6	Å³ per atom

=====

Entry from the Alexandria database: a geometry-optimized HgMoOs2 structure (PBE-GGA).

Unit cell a=9.464 b=2.847 c=4.890 alpha=90.00 beta=100.68 gamma=90.00
Space group Cm (No. 8)
Asymmetric unit:
Hg: 0.000 0.000 0.000 [2 per cell]
Mo: 0.236 0.000 0.716 [2 per cell]
Os: 0.261 0.500 0.271 [2 per cell]
Os: 0.489 0.000 0.498 [2 per cell]

Results
V	16.2	Å³ per atom
formation energy from the elements	591	meV/atom

=====

no.,total DFT energy (no corrections) (eV per atom)
1,-2.103
2,-7.728
3,-7.807